Entry 1:
10
Lattice="3.5257 2.0356 6.2005 -3.5257 2.0356 6.2005 0.0000 -4.0712 6.2005" Properties=species:S:1:pos:R:3 comment="AcDy2TmS6 GGA-PBE optimized geometry" space_group="R3, No. 146" dft_energy_ev_per_atom=-6.327 pbc="T T T"
Ac 0.0000 0.0000 0.0000
Dy 0.0000 0.0000 5.2345
Dy 0.0000 0.0000 14.6916
Tm 0.0000 0.0000 9.0058
S -1.9996 -0.2730 7.1454
S -1.3476 -2.0389 10.2208
S 1.2362 -1.5952 7.1454
S -1.0920 2.1865 10.2208
S 0.7634 1.8682 7.1454
S 2.4395 -0.1476 10.2208

Entry 2:
14
Lattice="6.0829 -3.4675 0.0000 6.0829 3.4675 0.0000 -1.3805 0.0000 5.3771" Properties=species:S:1:pos:R:3 comment="ScZnPd5 GGA-PBE optimized geometry" space_group="C2/c, No. 15" relative_energy_kj_per_mol_atoms=1.7 formation_enthalpy_0k_kj_per_mol_fu=-356 pbc="T T T"
Sc 5.0476 2.0263 4.0328
Sc 5.7378 -2.0263 1.3443
Zn 3.0415 1.7338 0.0000
Zn 2.3512 -1.7338 2.6886
Pd 1.4297 0.5746 3.0220
Pd 5.7378 2.1124 1.3443
Pd 2.1199 -0.5746 0.3335
Pd 4.0838 0.1040 2.2702
Pd 3.3936 -0.1040 4.9588
Pd 7.3918 0.1040 0.4183
Pd 6.7016 -0.1040 3.1069
Pd 8.6655 0.5746 5.0437
Pd 5.0476 -2.1124 4.0328
Pd 9.3557 -0.5746 2.3551

Entry 3:
10
Lattice="7.7392 0.0000 0.0000 0.0000 7.7392 0.0000 0.0000 0.0000 5.8737" Properties=species:S:1:pos:R:3 comment="K2ZnBi2 GGA-PBE optimized geometry" space_group="P4/mbm, No. 127" relative_energy_kj_per_mol_atoms=2.1 formation_enthalpy_0k_kj_per_mol_fu=-112 pbc="T T T"
K 1.2753 2.5943 0.0000
K 2.5943 6.4640 0.0000
K 5.1449 1.2753 0.0000
K 6.4640 5.1449 0.0000
Zn 0.0000 0.0000 2.9368
Zn 3.8696 3.8696 2.9368
Bi 1.1319 5.0015 2.9368
Bi 2.7377 1.1319 2.9368
Bi 5.0015 6.6074 2.9368
Bi 6.6074 2.7377 2.9368

Values for density, Mg/m³, ordered as above
5.7 9.4 5.3
Values for spin magnetization, μB/f.u., ordered as above
0.00 0.00 0.00